[1]
DFT (PBE-GGA) results for a relaxed CeZn3Ni8 crystal.

POSCAR file:
```
CeZn3Ni8
1.0
-3.748 -2.037 -2.244
0.985 -1.150 4.576
-4.672 5.865 2.479
Zn Ni Ce
3 8 1
direct
0.667 0.333 0.048
0.667 0.333 0.391
0.000 0.000 0.966
0.502 0.004 0.760
0.333 0.667 0.002
0.333 0.667 0.500
0.502 0.498 0.760
0.165 0.835 0.247
0.996 0.498 0.760
0.165 0.331 0.247
0.669 0.835 0.247
0.000 0.000 0.574
```



[2]
DFT (PBE-GGA) results for a relaxed CeZnNi4 crystal.

POSCAR file:
```
CeZnNi4
1.0
-1.441 0.910 4.612
-1.344 -3.710 2.933
2.864 -1.312 3.775
Ni Zn Ce
4 1 1
direct
0.121 0.626 0.626
0.626 0.121 0.626
0.626 0.626 0.121
0.626 0.626 0.626
0.000 0.000 0.000
0.250 0.250 0.250
```



[3]
DFT (PBE-GGA) results for a relaxed CeZn2Ni9 crystal.

POSCAR file:
```
CeZn2Ni9
1.0
2.641 0.000 0.000
0.000 8.109 0.000
0.000 -4.055 7.023
Ni Zn Ce
9 2 1
direct
0.500 0.819 0.181
0.500 0.819 0.637
0.000 0.500 0.500
0.500 0.637 0.819
0.000 0.000 0.500
0.500 0.181 0.363
0.500 0.181 0.819
0.000 0.500 0.000
0.500 0.363 0.181
0.000 0.333 0.667
0.000 0.667 0.333
0.000 0.000 0.000
```



ΔE_f readings, ordered: -204; -228; -30 kJ/mol of formula units
Total magnetization readings, ordered: 0.00; 0.00; 0.17 μB per cell